# PrNiH

PrNiH after structural relaxation (PBE-GGA, Alexandria).

The value obtained for the electronic total energy is -4.889 eV per atom. As for the crystal system: triclinic. The value obtained for the excess energy over the best structure of this formula in the dataset is 126 meV per atom. The total magnetic moment is 0.0 μB/f.u.

It has space group P-1 (No. 2), with a = 3.705 Å, b = 4.747 Å, c = 5.791 Å, α = 113.94°, β = 90.01° and γ = 90.00°. The distinct sites, in fractional coordinates, are Pr at (0.249, 0.352, 0.205), Ni at (0.250, 0.075, 0.651) and H at (0.247, 0.905, 0.311).